Lu4CdCuN2: relaxed, PBE.

a = 3.3872 Å, b = 3.3872 Å, c = 14.6874 Å
α = 90.00°, β = 90.00°, γ = 120.00°
Atoms (fractional coordinates):
Lu  0.0000  0.0000  0.1401
Lu  0.0000  0.0000  0.8599
Lu  0.6667  0.3333  0.3220
Lu  0.6667  0.3333  0.6780
Cd  0.0000  0.0000  0.5000
Cu  0.6667  0.3333  0.0000
N  0.3333  0.6667  0.2393
N  0.3333  0.6667  0.7607

Calculated values
E = -5.846 eV per atom
Space-group type = P-6m2 (187)

AgAuC2N2: relaxed, PBE.

a = 6.1900 Å, b = 6.1900 Å, c = 6.1900 Å
α = 148.36°, β = 123.66°, γ = 66.07°
Atoms (fractional coordinates):
Ag  0.0000  0.0000  0.0000
Au  0.5000  0.5000  0.0000
C  0.3089  0.3089  0.0000
C  0.6911  0.6911  0.0000
N  0.1966  0.1966  0.0000
N  0.8034  0.8034  0.0000

Calculated values
E = -6.462 eV per atom
Space-group type = Immm (71)

Cd3PO4F3: relaxed, PBE.

a = 6.6801 Å, b = 6.6801 Å, c = 6.6801 Å
α = 115.48°, β = 115.48°, γ = 115.48°
Atoms (fractional coordinates):
Cd  0.1038  0.4550  0.4412
Cd  0.4412  0.1038  0.4550
Cd  0.4550  0.4412  0.1038
P  0.7504  0.7504  0.7504
O  0.3872  0.3872  0.3872
O  0.6883  0.9457  0.8797
O  0.8797  0.6883  0.9457
O  0.9457  0.8797  0.6883
F  0.2224  0.2625  0.6410
F  0.2625  0.6410  0.2224
F  0.6410  0.2224  0.2625

Calculated values
E = -4.827 eV per atom
Space-group type = R3 (146)

Pd: relaxed, PBE.

a = 5.5460 Å, b = 3.8343 Å, c = 31.7095 Å
α = 90.00°, β = 90.01°, γ = 90.00°
Atoms (fractional coordinates):
Pd  0.1211  0.2500  0.2073
Pd  0.1221  0.2500  0.2977
Pd  0.1246  0.2500  0.3880
Pd  0.1250  0.2500  0.4777
Pd  0.1250  0.2500  0.5672
Pd  0.1251  0.2500  0.6574
Pd  0.1253  0.2500  0.7499
Pd  0.3716  0.7500  0.7926
Pd  0.3727  0.7500  0.7023
Pd  0.3751  0.7500  0.1680
Pd  0.3748  0.7500  0.2544
Pd  0.3748  0.7500  0.3431
Pd  0.3749  0.7500  0.4329
Pd  0.3750  0.7500  0.5224
Pd  0.3747  0.7500  0.6121
Pd  0.6253  0.2500  0.3879
Pd  0.6250  0.2500  0.4776
Pd  0.6251  0.2500  0.5671
Pd  0.6252  0.2500  0.6569
Pd  0.6252  0.2500  0.7456
Pd  0.6249  0.2500  0.8320
Pd  0.6273  0.2500  0.2977
Pd  0.6284  0.2500  0.2074
Pd  0.8747  0.7500  0.2501
Pd  0.8749  0.7500  0.3426
Pd  0.8750  0.7500  0.4328
Pd  0.8750  0.7500  0.5223
Pd  0.8754  0.7500  0.6120
Pd  0.8779  0.7500  0.7023
Pd  0.8789  0.7500  0.7927

Calculated values
Space-group type = P2_1/m (11)
Energy above the most stable polymorph in this dataset = 0.158 eV/atom

TlTcAgSe3: relaxed, PBE.

a = 14.9395 Å, b = 3.2878 Å, c = 11.5053 Å
α = 90.00°, β = 90.00°, γ = 90.00°
Atoms (fractional coordinates):
Tl  0.1461  0.2500  0.0070
Tl  0.3539  0.7500  0.5070
Tl  0.6461  0.2500  0.4930
Tl  0.8539  0.7500  0.9930
Tc  0.0379  0.2500  0.6517
Tc  0.4621  0.7500  0.1517
Tc  0.5379  0.2500  0.8483
Tc  0.9621  0.7500  0.3483
Ag  0.2302  0.2500  0.3318
Ag  0.2698  0.7500  0.8318
Ag  0.7302  0.2500  0.1682
Ag  0.7698  0.7500  0.6682
Se  0.0194  0.7500  0.8117
Se  0.0754  0.2500  0.4336
Se  0.2033  0.2500  0.6733
Se  0.2967  0.7500  0.1733
Se  0.4246  0.7500  0.9336
Se  0.4806  0.2500  0.3117
Se  0.5194  0.7500  0.6883
Se  0.5754  0.2500  0.0664
Se  0.7033  0.2500  0.8267
Se  0.7967  0.7500  0.3267
Se  0.9246  0.7500  0.5664
Se  0.9806  0.2500  0.1883

Calculated values
Space-group type = Pnma (62)
Energy above the most stable polymorph in this dataset = 0.028 eV/atom

DyY2Zn3AgHg2: relaxed, PBE.

a = 4.0456 Å, b = 7.5282 Å, c = 7.5282 Å
α = 119.97°, β = 90.00°, γ = 90.00°
Atoms (fractional coordinates):
Dy  0.0000  0.0000  0.0000
Y  0.0000  0.4045  0.8091
Y  0.0000  0.8091  0.4045
Zn  0.5000  0.1578  0.4043
Zn  0.5000  0.4043  0.1578
Zn  0.5000  0.6513  0.6513
Ag  0.0000  0.4037  0.4037
Hg  0.5000  0.0709  0.7385
Hg  0.5000  0.7385  0.0709

Calculated values
E = -3.124 eV per atom
Space-group type = Amm2 (38)

BaNa2NiH6: relaxed, PBE.

a = 5.6935 Å, b = 5.6935 Å, c = 5.6935 Å
α = 60.00°, β = 60.00°, γ = 60.00°
Atoms (fractional coordinates):
Ba  0.0000  0.0000  0.0000
Na  0.2500  0.2500  0.2500
Na  0.7500  0.7500  0.7500
Ni  0.5000  0.5000  0.5000
H  0.3027  0.3027  0.6973
H  0.3027  0.6973  0.3027
H  0.3027  0.6973  0.6973
H  0.6973  0.3027  0.3027
H  0.6973  0.3027  0.6973
H  0.6973  0.6973  0.3027

Calculated values
E = -2.998 eV per atom
Space-group type = Fm-3m (225)

Nb2C: relaxed, PBE.

a = 5.3311 Å, b = 2.7187 Å, c = 14.0512 Å
α = 90.00°, β = 90.04°, γ = 90.00°
Atoms (fractional coordinates):
Nb  0.2454  0.2500  0.2816
Nb  0.2456  0.2500  0.7184
Nb  0.2502  0.7500  0.1001
Nb  0.2504  0.7500  0.8999
Nb  0.7496  0.2500  0.1001
Nb  0.7498  0.2500  0.8999
Nb  0.7544  0.7500  0.2816
Nb  0.7546  0.7500  0.7184
C  0.4507  0.7500  0.3957
C  0.4506  0.7500  0.6044
C  0.5494  0.2500  0.3956
C  0.5493  0.2500  0.6043

Calculated values
E = -9.174 eV per atom
Space-group type = P2_1/m (11)

CoAgBIr: relaxed, PBE.

a = 4.1432 Å, b = 4.1432 Å, c = 4.1432 Å
α = 60.00°, β = 60.00°, γ = 60.00°
Atoms (fractional coordinates):
Co  0.0000  0.0000  0.0000
Ag  0.2500  0.2500  0.2500
B  0.7500  0.7500  0.7500
Ir  0.5000  0.5000  0.5000

Calculated values
Space-group type = F-43m (216)
Energy above the most stable polymorph in this dataset = 0.000 eV/atom

TbDy2In3CuAg2: relaxed, PBE.

a = 3.8922 Å, b = 7.7925 Å, c = 7.7925 Å
α = 120.02°, β = 90.00°, γ = 90.00°
Atoms (fractional coordinates):
Tb  0.0000  0.0000  0.0000
Dy  0.0000  0.4023  0.8045
Dy  0.0000  0.8045  0.4023
In  0.5000  0.1519  0.4024
In  0.5000  0.4024  0.1519
In  0.5000  0.6526  0.6526
Cu  0.0000  0.4023  0.4023
Ag  0.5000  0.0690  0.7355
Ag  0.5000  0.7355  0.0690

Calculated values
E = -3.926 eV per atom
Space-group type = Amm2 (38)

NdAg3Sn4O12: relaxed, PBE.

a = 6.8617 Å, b = 6.8617 Å, c = 6.8617 Å
α = 109.47°, β = 109.47°, γ = 109.47°
Atoms (fractional coordinates):
Nd  0.0000  0.0000  0.0000
Ag  0.0000  0.5000  0.5000
Ag  0.5000  0.0000  0.5000
Ag  0.5000  0.5000  0.0000
Sn  0.0000  0.0000  0.5000
Sn  0.0000  0.5000  0.0000
Sn  0.5000  0.0000  0.0000
Sn  0.5000  0.5000  0.5000
O  0.1023  0.2836  0.8186
O  0.1814  0.4650  0.2836
O  0.1814  0.8977  0.7164
O  0.2836  0.1814  0.4650
O  0.2836  0.8186  0.1023
O  0.4650  0.2836  0.1814
O  0.5350  0.7164  0.8186
O  0.7164  0.1814  0.8977
O  0.7164  0.8186  0.5350
O  0.8186  0.1023  0.2836
O  0.8186  0.5350  0.7164
O  0.8977  0.7164  0.1814

Calculated values
E = -5.803 eV per atom
Space-group type = Im-3 (204)

YNbCoAu: relaxed, PBE.

a = 4.6332 Å, b = 4.6332 Å, c = 4.6332 Å
α = 60.00°, β = 60.00°, γ = 60.00°
Atoms (fractional coordinates):
Y  0.0000  0.0000  0.0000
Nb  0.7500  0.7500  0.7500
Co  0.5000  0.5000  0.5000
Au  0.2500  0.2500  0.2500

Calculated values
Space-group type = F-43m (216)
Energy above the most stable polymorph in this dataset = 0.084 eV/atom

Please write out number 4 again, unchanged.
Pd: relaxed, PBE.

a = 5.5460 Å, b = 3.8343 Å, c = 31.7095 Å
α = 90.00°, β = 90.01°, γ = 90.00°
Atoms (fractional coordinates):
Pd  0.1211  0.2500  0.2073
Pd  0.1221  0.2500  0.2977
Pd  0.1246  0.2500  0.3880
Pd  0.1250  0.2500  0.4777
Pd  0.1250  0.2500  0.5672
Pd  0.1251  0.2500  0.6574
Pd  0.1253  0.2500  0.7499
Pd  0.3716  0.7500  0.7926
Pd  0.3727  0.7500  0.7023
Pd  0.3751  0.7500  0.1680
Pd  0.3748  0.7500  0.2544
Pd  0.3748  0.7500  0.3431
Pd  0.3749  0.7500  0.4329
Pd  0.3750  0.7500  0.5224
Pd  0.3747  0.7500  0.6121
Pd  0.6253  0.2500  0.3879
Pd  0.6250  0.2500  0.4776
Pd  0.6251  0.2500  0.5671
Pd  0.6252  0.2500  0.6569
Pd  0.6252  0.2500  0.7456
Pd  0.6249  0.2500  0.8320
Pd  0.6273  0.2500  0.2977
Pd  0.6284  0.2500  0.2074
Pd  0.8747  0.7500  0.2501
Pd  0.8749  0.7500  0.3426
Pd  0.8750  0.7500  0.4328
Pd  0.8750  0.7500  0.5223
Pd  0.8754  0.7500  0.6120
Pd  0.8779  0.7500  0.7023
Pd  0.8789  0.7500  0.7927

Calculated values
Space-group type = P2_1/m (11)
Energy above the most stable polymorph in this dataset = 0.158 eV/atom